[1]
14
Lattice="4.0246 2.3236 6.5853 -4.0246 2.3236 6.5853 0.0000 -4.6472 6.5853" Properties=species:S:1:pos:R:3 comment="SmYHo4S8 PBE-GGA relaxed" dos_at_fermi_per_ev_cell=8.57 volume_a3_per_cell=370 e_form_raw_ev_per_atom=-1.93 pbc="T T T"
Sm 0.0000 0.0000 0.0000
Y 0.0000 0.0000 12.3458
Ho -2.0043 -1.1572 9.0666
Ho 0.0000 0.0000 4.9518
Ho 2.0043 -1.1572 9.0666
Ho 0.0000 2.3143 9.0666
S 0.0000 -2.2003 10.6491
S -1.9055 1.1002 10.6491
S 0.0000 0.0000 7.5627
S -1.8573 -1.0723 14.0823
S 1.9055 1.1002 10.6491
S 0.0000 0.0000 17.0862
S 1.8573 -1.0723 14.0823
S 0.0000 2.1447 14.0823

[2]
7
Lattice="-1.4516 1.4516 13.6575 1.4516 -1.4516 13.6575 1.4516 1.4516 -13.6575" Properties=species:S:1:pos:R:3 comment="Tc4Ag3 PBE-GGA relaxed" formation_energy_ev_per_atom=0.291 dos_at_fermi_per_ev_cell=3.70 volume_a3_per_cell=115 pbc="T T T"
Tc 0.0000 0.0000 2.1346
Tc 0.0000 0.0000 10.0566
Tc 0.0000 0.0000 17.2584
Tc 0.0000 0.0000 25.1804
Ag 0.0000 0.0000 5.7804
Ag 0.0000 0.0000 13.6575
Ag 0.0000 0.0000 21.5347

[3]
4
Lattice="3.3177 0.0000 0.0000 0.0000 3.3177 0.0000 0.0000 0.0000 7.6288" Properties=species:S:1:pos:R:3 comment="KLiFe2 PBE-GGA relaxed" formation_energy_ev_per_atom=0.872 dos_at_fermi_per_ev_cell=2.58 volume_a3_per_cell=84 polymorph_energy_mev_per_atom=329 pbc="T T T"
K 0.0000 0.0000 0.0000
Li 0.0000 0.0000 3.8144
Fe 1.6588 1.6588 2.7209
Fe 1.6588 1.6588 4.9079

[4]
19
Lattice="8.7354 0.0000 0.0000 -0.6188 9.8582 0.0000 -1.0585 -4.8773 9.5686" Properties=species:S:1:pos:R:3 comment="Cs5Se2S12 PBE-GGA relaxed" dos_at_fermi_per_ev_cell=7.35 volume_a3_per_cell=824 e_form_raw_ev_per_atom=-0.53 pbc="T T T"
Cs 0.0000 0.0000 0.0000
Cs -0.4500 -0.0428 5.1165
Cs 2.8326 5.1709 2.2202
Cs 4.2255 -0.1899 7.3484
Cs 7.5081 5.0238 4.4521
Se 0.7225 -1.1891 8.4944
Se 6.3355 6.1701 1.0741
S -0.5632 0.4820 9.0249
S 0.5582 2.4365 2.7066
S 0.4787 7.7104 2.7708
S 2.2579 1.9869 3.7571
S 2.7341 -1.3520 3.7403
S 3.3417 0.4293 2.8587
S 3.7164 4.5516 6.7098
S 4.3239 6.3329 5.8283
S 4.8002 2.9940 5.8115
S 6.5794 -2.7295 6.7978
S 6.4998 2.5444 6.8620
S 7.6213 4.4989 0.5437

[5]
16
Lattice="9.3656 0.0000 0.0000 0.0000 6.8326 0.0000 0.0000 0.0000 4.6824" Properties=species:S:1:pos:R:3 comment="HoIn3Pd4 PBE-GGA relaxed" formation_energy_ev_per_atom=-0.650 dos_at_fermi_per_ev_cell=7.06 volume_a3_per_cell=300 pbc="T T T"
Ho 0.0000 0.0000 0.0000
Ho 4.6828 0.0000 0.0000
In 0.0000 3.4163 0.0000
In 2.3414 0.0000 2.3379
In 2.3414 3.4163 2.3361
In 4.6828 3.4163 0.0000
In 7.0242 0.0000 2.3445
In 7.0242 3.4163 2.3464
Pd 0.0000 1.7867 2.3412
Pd 0.0000 5.0459 2.3412
Pd 2.3414 1.7860 4.6762
Pd 2.3414 5.0466 4.6762
Pd 4.6828 1.7867 2.3412
Pd 4.6828 5.0459 2.3412
Pd 7.0242 1.7860 0.0062
Pd 7.0242 5.0466 0.0062

[6]
6
Lattice="4.3839 -2.0454 0.0000 4.3839 2.0454 0.0000 -3.0521 0.0000 4.1813" Properties=species:S:1:pos:R:3 comment="Ni4PdRh PBE-GGA relaxed" formation_energy_ev_per_atom=0.115 dos_at_fermi_per_ev_cell=9.94 volume_a3_per_cell=75 polymorph_energy_mev_per_atom=39 pbc="T T T"
Ni 0.1866 0.0000 1.7455
Ni -1.3398 0.0000 3.8379
Ni 7.0556 0.0000 0.3434
Ni 5.5293 0.0000 2.4358
Pd 2.8579 0.0000 2.0907
Rh 4.3839 0.0000 0.0000

[7]
3
Lattice="3.3060 0.0000 0.0000 -1.6530 2.8631 0.0000 0.0000 0.0000 5.5342" Properties=species:S:1:pos:R:3 comment="DyNbC PBE-GGA relaxed" formation_energy_ev_per_atom=-0.229 dos_at_fermi_per_ev_cell=1.98 volume_a3_per_cell=52 pbc="T T T"
Dy 0.0000 0.0000 0.0000
Nb 0.0000 1.9087 2.8952
C 1.6530 0.9544 3.9606

[8]
12
Lattice="3.3044 -5.8920 0.0000 3.3044 5.8920 0.0000 -1.8609 0.0000 6.4413" Properties=species:S:1:pos:R:3 comment="Ba5ZnO6 PBE-GGA relaxed" dos_at_fermi_per_ev_cell=0.00 volume_a3_per_cell=251 e_form_raw_ev_per_atom=-2.17 pbc="T T T"
Ba 0.0000 0.0000 0.0000
Ba 2.3740 3.8384 3.2207
Ba 3.3044 1.9044 0.0000
Ba 3.3044 -1.9044 0.0000
Ba 2.3740 -3.8384 3.2207
Zn 2.3740 0.0000 3.2207
O 1.0321 2.0661 1.4195
O 0.7934 0.0000 4.2822
O 1.0321 -2.0661 1.4195
O 3.7158 2.0661 5.0218
O 3.9546 0.0000 2.1591
O 3.7158 -2.0661 5.0218

[9]
19
Lattice="5.6806 3.2797 3.5077 -5.6806 3.2797 3.5077 0.0000 -6.5594 3.5077" Properties=species:S:1:pos:R:3 comment="Hf12Ir6N PBE-GGA relaxed" dos_at_fermi_per_ev_cell=17.56 volume_a3_per_cell=392 e_form_raw_ev_per_atom=-0.61 pbc="T T T"
Hf -3.8869 -3.7915 5.7276
Hf -5.2270 1.4704 4.7956
Hf -1.3859 -1.7409 4.0966
Hf 1.3401 -5.2619 4.7956
Hf -0.8147 2.0706 4.0967
Hf -2.2006 0.3298 6.4265
Hf 2.2006 -0.3298 4.0967
Hf 0.8147 -2.0706 6.4265
Hf -1.3401 5.2619 5.7276
Hf 1.3859 1.7409 6.4265
Hf 5.2270 -1.4704 5.7276
Hf 3.8869 3.7915 4.7956
Ir -2.9029 0.5591 3.7463
Ir 0.9673 -2.7936 3.7463
Ir -1.9357 -2.2345 6.7769
Ir 1.9357 2.2345 3.7463
Ir -0.9673 2.7936 6.7769
Ir 2.9029 -0.5591 6.7769
N 0.0000 0.0000 0.0000

[10]
11
Lattice="5.6053 0.0000 0.0000 0.5014 5.6786 0.0000 1.8351 1.2113 6.3841" Properties=species:S:1:pos:R:3 comment="Ti7Ga2Sb2 PBE-GGA relaxed" dos_at_fermi_per_ev_cell=12.53 volume_a3_per_cell=203 e_form_raw_ev_per_atom=-0.22 pbc="T T T"
Ti 0.0000 0.0000 0.0000
Ti 1.2495 4.7869 2.9421
Ti 2.4679 3.6063 0.9251
Ti 4.0662 4.7791 3.2245
Ti 3.8757 2.1108 3.1595
Ti 5.4740 3.2836 5.4590
Ti 6.6924 2.1030 3.4420
Ga 2.6155 3.6589 5.1943
Ga 5.3264 3.2310 1.1898
Sb 2.3721 0.7591 1.3248
Sb 5.5698 6.1308 5.0593

[11]
4
Lattice="4.0495 0.0000 0.0000 0.0000 2.1888 5.4612 0.0000 -2.1888 5.4612" Properties=species:S:1:pos:R:3 comment="YTmAlGa PBE-GGA relaxed" formation_energy_ev_per_atom=-0.524 dos_at_fermi_per_ev_cell=3.16 volume_a3_per_cell=97 polymorph_energy_mev_per_atom=0 pbc="T T T"
Y 0.0000 0.0000 0.0000
Tm 2.0247 0.0000 3.0652
Al 0.0000 0.0000 7.7905
Ga 2.0247 0.0000 6.1415